HfTi2I PBE optimized geometry; ΔE to the lowest computed polymorph = 0.00 eV/f.u.; space-group type = Fm-3m, No. 225; energy relative to the elements, uncorrected = 0.457 eV per atom; size of the total moment = 0.000 μB per formula unit
1.0
0.000 3.379 3.379
3.379 0.000 3.379
3.379 3.379 0.000
I Ti Hf
1 2 1
Direct
0.000 0.000 0.000
0.750 0.750 0.750
0.250 0.250 0.250
0.500 0.500 0.500

Ru3Pt3Rh PBE optimized geometry; formation energy from the elements = 0.0124 eV/atom; space-group type = P6_3/m, No. 176; size of the total moment = 0.000 μB per formula unit
1.0
4.449 0.000 0.000
0.000 6.331 -3.655
0.000 0.000 7.311
Pt Ru Rh
6 6 2
Direct
0.250 0.093 0.628
0.750 0.465 0.093
0.250 0.535 0.907
0.750 0.907 0.372
0.250 0.372 0.465
0.750 0.628 0.535
0.750 0.183 0.231
0.750 0.769 0.952
0.250 0.817 0.769
0.750 0.048 0.817
0.250 0.231 0.048
0.250 0.952 0.183
0.250 0.667 0.333
0.750 0.333 0.667

Ho5MgIn PBE optimized geometry; formation energy from the elements = 0.0268 eV/atom; space-group type = C2/c, No. 15; size of the total moment = 0.000 μB per formula unit
1.0
-0.009 -0.138 6.486
-4.158 -3.594 -3.447
5.473 -10.834 1.483
In Ho Mg
2 10 2
Direct
0.605 0.395 0.750
0.395 0.605 0.250
0.119 0.881 0.750
0.368 0.086 0.283
0.678 0.336 0.005
0.632 0.914 0.717
0.336 0.678 0.505
0.086 0.368 0.783
0.322 0.664 0.995
0.881 0.119 0.250
0.664 0.322 0.495
0.914 0.632 0.217
0.000 0.000 0.000
0.000 0.000 0.500

BeWSe2 PBE optimized geometry; space-group type = Pmmm, No. 47; energy relative to the elements, uncorrected = 0.612 eV per atom; size of the total moment = 0.008 μB per formula unit
1.0
4.249 0.000 0.000
0.000 4.683 0.000
0.000 0.000 3.131
Be Se W
1 2 1
Direct
0.000 0.500 0.500
0.000 0.000 0.000
0.500 0.500 0.000
0.500 0.000 0.500

RbZrIr3 PBE optimized geometry; ΔE to the lowest computed polymorph = 6.53 eV/f.u.; formation energy from the elements = 2.5913 eV/atom; space-group type = Pm-3m, No. 221; size of the total moment = 0.000 μB per formula unit
1.0
4.771 0.000 0.000
0.000 4.771 0.000
0.000 0.000 4.771
Zr Ir Rb
1 3 1
Direct
0.500 0.500 0.500
0.000 0.000 0.500
0.000 0.500 0.000
0.500 0.000 0.000
0.000 0.000 0.000

SrCaNd2S4 PBE optimized geometry; space-group type = P2/m, No. 10; energy relative to the elements, uncorrected = -2.046 eV per atom; size of the total moment = 0.000 μB per formula unit
1.0
4.079 0.000 0.000
0.000 7.205 -0.195
0.000 2.485 6.608
S Nd Sr Ca
4 2 1 1
Direct
0.500 0.251 0.743
0.000 0.754 0.743
0.500 0.749 0.257
0.000 0.246 0.257
0.500 0.000 0.500
0.000 0.000 0.000
0.500 0.500 0.000
0.000 0.500 0.500

Repeat the second record exactly.
Ru3Pt3Rh PBE optimized geometry; formation energy from the elements = 0.0124 eV/atom; space-group type = P6_3/m, No. 176; size of the total moment = 0.000 μB per formula unit
1.0
4.449 0.000 0.000
0.000 6.331 -3.655
0.000 0.000 7.311
Pt Ru Rh
6 6 2
Direct
0.250 0.093 0.628
0.750 0.465 0.093
0.250 0.535 0.907
0.750 0.907 0.372
0.250 0.372 0.465
0.750 0.628 0.535
0.750 0.183 0.231
0.750 0.769 0.952
0.250 0.817 0.769
0.750 0.048 0.817
0.250 0.231 0.048
0.250 0.952 0.183
0.250 0.667 0.333
0.750 0.333 0.667